Crystalline Sr6Pt2I3N at its relaxed geometry. Source: the Alexandria database, functional PBE.

Output
space group = No. 12
size of the total moment = 0.0 μB/f.u.
energy relative to the elements, uncorrected = -1068 meV per atom
crystal system = monoclinic

Unit cell a=7.5401 b=7.5401 c=8.3896 alpha=98.64 beta=98.64 gamma=119.93
Fractional coordinates of all 12 atoms:
1 Sr 0.0617 0.3604 0.1836
2 Sr 0.2371 0.2371 0.8139
3 Sr 0.3604 0.0617 0.1836
4 Sr 0.6396 0.9383 0.8164
5 Sr 0.7629 0.7629 0.1861
6 Sr 0.9383 0.6396 0.8164
7 Pt 0.3337 0.6663 0.0000
8 Pt 0.6663 0.3337 0.0000
9 I 0.1696 0.8304 0.5000
10 I 0.5000 0.5000 0.5000
11 I 0.8304 0.1696 0.5000
12 N 0.0000 0.0000 0.0000